## BaLiGaO2 (PBE)

Data for an optimized crystal structure of BaLiGaO2.

a = 4.422 Å, b = 4.422 Å, c = 4.099 Å
α = 90.00°, β = 90.00°, γ = 90.00°
Element x y z (fractional)
Ba1 0.000 0.000 0.000
Li1 0.500 0.500 0.500
Ga1 0.500 0.500 0.000
O1 0.000 0.500 0.500
O2 0.500 0.000 0.500

Results
SG: P4/mmm, No. 123
Formation energy without anion corrections: -0.870 eV/atom

---

## Ac3HgPb3 (PBE)

Data for an optimized crystal structure of Ac3HgPb3.

a = 9.942 Å, b = 9.942 Å, c = 6.819 Å
α = 90.00°, β = 90.00°, γ = 120.00°
Element x y z (fractional)
Ac1 0.054 0.679 0.250
Ac2 0.321 0.375 0.250
Ac3 0.375 0.054 0.750
Ac4 0.625 0.946 0.250
Ac5 0.679 0.625 0.750
Ac6 0.946 0.321 0.750
Hg1 0.333 0.667 0.750
Hg2 0.667 0.333 0.250
Pb1 0.051 0.707 0.750
Pb2 0.293 0.344 0.750
Pb3 0.344 0.051 0.250
Pb4 0.656 0.949 0.750
Pb5 0.707 0.656 0.250
Pb6 0.949 0.293 0.250

Results
SG: P6_3/m, No. 176
Formation enthalpy at 0 K: -297 meV/atom